1.
First-principles (GGA-PBE) data for a relaxed Al2CuIr crystal, as listed in Alexandria via LeMat-Bulk.

Unit cell a=2.7881 b=2.7881 c=8.2417 alpha=90.00 beta=90.00 gamma=116.33
Positions (direct):
Ir 0.5000 0.5000 0.7500
Al 0.0000 0.0000 0.0000
Al 0.0000 0.0000 0.5000
Cu 0.5000 0.5000 0.2500

Summary:
Its space-group type is Cmmm (65).

2.
First-principles (GGA-PBE) data for a relaxed Al3CuIr2 crystal, as listed in Alexandria via LeMat-Bulk.

Unit cell a=2.9719 b=4.2859 c=6.9737 alpha=112.34 beta=90.00 gamma=90.00
Positions (direct):
Al 0.5000 0.5000 0.0000
Al 0.5000 0.8459 0.6645
Al 0.5000 0.1541 0.3355
Cu 0.0000 0.0000 0.0000
Ir 0.0000 0.3535 0.6727
Ir 0.0000 0.6465 0.3273

Summary:
Its space-group type is P2/m (10).

So what do the calculations give for energy of formation from the pure elements? Going down the list: -0.2389, -0.6964 eV/atom.